(1)
The following is a DFT calculation (PBE) of a relaxed structure of TeH.

Output
relative energy among the computed polymorphs = 0 meV/atom

Cell: 5.8438 8.4220 8.6280 Å, 90.00 90.00 90.00°
Space group P2_12_12_1 (No. 19)
Unique sites:
Te1 0.0317 0.1143 0.2434 x4
Te2 0.1298 0.6182 0.7453 x4
H1 0.0915 0.6245 0.9413 x4
H2 0.1763 0.7548 0.2634 x4


(2)
The following is a DFT calculation (PBE) of a relaxed structure of Sr2AlPt3.

Output
energy of formation = -0.591 eV/atom
N(E_F) = 0.498 states/eV/atom

Cell: 4.2306 5.6959 12.0662 Å, 90.00 90.00 90.00°
Space group Immm (No. 71)
Unique sites:
Sr1 0.0000 0.0000 0.1802 x4
Al1 0.0000 0.0000 0.5000 x2
Pt1 0.0000 0.5000 0.1152 x4
Pt2 0.0000 0.5000 0.5000 x2


(3)
The following is a DFT calculation (PBE) of a relaxed structure of LiIr2Au.

Output
relative energy among the computed polymorphs = 374 meV/atom
energy of formation = 0.324 eV/atom
N(E_F) = 0.924 states/eV/atom

Cell: 3.6612 3.6612 19.2268 Å, 90.00 90.00 90.00°
Space group I-42d (No. 122)
Unique sites:
Li1 0.0000 0.0000 0.0000 x4
Ir1 0.2353 0.7500 0.1250 x8
Au1 0.0000 0.0000 0.5000 x4


(4)
The following is a DFT calculation (PBE) of a relaxed structure of LiNd5Tl6.

Output
energy of formation = -0.362 eV/atom
N(E_F) = 0.785 states/eV/atom

Cell: 5.4180 7.7967 8.5894 Å, 90.03 108.31 90.05°
Space group P-1 (No. 2)
Unique sites:
Li1 0.0000 0.0000 0.0000 x1
Nd1 0.0000 0.5000 0.0000 x1
Nd2 0.3308 0.4998 0.6609 x2
Nd3 0.3393 0.9999 0.6788 x2
Tl1 0.1608 0.2387 0.3216 x2
Tl2 0.1606 0.7614 0.3216 x2
Tl3 0.4999 0.2427 0.0001 x2